5
Lattice="3.979 0.000 0.000 0.000 5.478 0.000 0.000 0.000 3.979" Properties=species:S:1:pos:R:3 comment="PBE+U YSiWO2, optimized geometry" dft_energy_ev_per_atom=-5.46 vol_a3_per_cell=87 sg="P4/mmm, No. 123" density_g_cm3=6.37 pbc="T T T"
Si 0.000 0.000 0.000
O 0.000 0.000 1.989
O 1.989 0.000 0.000
Y 0.000 2.739 0.000
W 1.989 2.739 1.989